# RbTlGe

RbTlGe after structural relaxation (GGA-PBE, the Alexandria database).

final energy: -2.65 eV/atom
crystal system: monoclinic
energy of formation: 0.0 eV/f.u.

Geometry as CIF:
```
data_RbTlGe
_space_group_name_H-M_alt 'P 1'
_space_group_IT_number 1
_space_group_name_Hall 'P 1'
_cell_length_a 5.3932
_cell_length_b 4.2627
_cell_length_c 9.6416
_cell_angle_alpha 90.00
_cell_angle_beta 95.61
_cell_angle_gamma 90.00
loop_
_atom_site_label
_atom_site_type_symbol
_atom_site_fract_x
_atom_site_fract_y
_atom_site_fract_z
Rb1 Rb 0.2180 0.2500 0.3330
Rb2 Rb 0.7820 0.7500 0.6670
Tl1 Tl 0.3169 0.2500 0.8145
Tl2 Tl 0.6831 0.7500 0.1855
Ge1 Ge 0.1489 0.7500 0.0250
Ge2 Ge 0.8511 0.2500 0.9750
```

# SeO2F

SeO2F after structural relaxation (GGA-PBE, the Alexandria database).

ΔE_f (raw): -0.1211 eV/atom
final energy: -3.94 eV/atom
crystal system: tetragonal
offset from the most stable computed form: 459 meV per atom

Geometry as CIF:
```
data_SeO2F
_space_group_name_H-M_alt 'P 1'
_space_group_IT_number 1
_space_group_name_Hall 'P 1'
_cell_length_a 5.8820
_cell_length_b 5.8820
_cell_length_c 8.4483
_cell_angle_alpha 90.00
_cell_angle_beta 90.00
_cell_angle_gamma 90.00
loop_
_atom_site_label
_atom_site_type_symbol
_atom_site_fract_x
_atom_site_fract_y
_atom_site_fract_z
Se1 Se 0.0000 0.0000 0.0000
Se2 Se 0.0000 0.5000 0.2500
Se3 Se 0.5000 0.0000 0.7500
Se4 Se 0.5000 0.5000 0.5000
O1 O 0.0420 0.2500 0.1250
O2 O 0.2500 0.5420 0.3750
O3 O 0.2500 0.9580 0.8750
O4 O 0.4580 0.2500 0.6250
O5 O 0.5420 0.7500 0.6250
O6 O 0.7500 0.0420 0.8750
O7 O 0.7500 0.4580 0.3750
O8 O 0.9580 0.7500 0.1250
F1 F 0.0000 0.0000 0.5000
F2 F 0.0000 0.5000 0.7500
F3 F 0.5000 0.0000 0.2500
F4 F 0.5000 0.5000 0.0000
```

# Ca3MoP

Ca3MoP after structural relaxation (GGA-PBE, the Alexandria database).

final energy: -4.19 eV/atom
crystal system: cubic
offset from the most stable computed form: 0 meV per atom
energy of formation: 1.3 eV/f.u.

Geometry as CIF:
```
data_Ca3MoP
_space_group_name_H-M_alt 'P 1'
_space_group_IT_number 1
_space_group_name_Hall 'P 1'
_cell_length_a 5.4712
_cell_length_b 5.4712
_cell_length_c 5.4712
_cell_angle_alpha 90.00
_cell_angle_beta 90.00
_cell_angle_gamma 90.00
loop_
_atom_site_label
_atom_site_type_symbol
_atom_site_fract_x
_atom_site_fract_y
_atom_site_fract_z
Ca1 Ca 0.0000 0.0000 0.5000
Ca2 Ca 0.0000 0.5000 0.0000
Ca3 Ca 0.5000 0.0000 0.0000
Mo1 Mo 0.5000 0.5000 0.5000
P1 P 0.0000 0.0000 0.0000
```

# CaGdNiPd

CaGdNiPd after structural relaxation (GGA-PBE, the Alexandria database).

final energy: -7.22 eV/atom
crystal system: cubic
energy of formation: -1.8 eV/f.u.

Geometry as CIF:
```
data_CaGdNiPd
_space_group_name_H-M_alt 'P 1'
_space_group_IT_number 1
_space_group_name_Hall 'P 1'
_cell_length_a 6.9556
_cell_length_b 6.9556
_cell_length_c 6.9556
_cell_angle_alpha 90.00
_cell_angle_beta 90.00
_cell_angle_gamma 90.00
loop_
_atom_site_label
_atom_site_type_symbol
_atom_site_fract_x
_atom_site_fract_y
_atom_site_fract_z
Ca1 Ca 0.0000 0.0000 0.0000
Ca2 Ca 0.0000 0.5000 0.5000
Ca3 Ca 0.5000 0.0000 0.5000
Ca4 Ca 0.5000 0.5000 0.0000
Gd1 Gd 0.0000 0.0000 0.5000
Gd2 Gd 0.0000 0.5000 0.0000
Gd3 Gd 0.5000 0.0000 0.0000
Gd4 Gd 0.5000 0.5000 0.5000
Ni1 Ni 0.2500 0.2500 0.7500
Ni2 Ni 0.2500 0.7500 0.2500
Ni3 Ni 0.7500 0.2500 0.2500
Ni4 Ni 0.7500 0.7500 0.7500
Pd1 Pd 0.2500 0.2500 0.2500
Pd2 Pd 0.2500 0.7500 0.7500
Pd3 Pd 0.7500 0.2500 0.7500
Pd4 Pd 0.7500 0.7500 0.2500
```